# 1
DFT (PBE) results for LaMgNb after structural relaxation. Values from VASP.

Cell and atoms, written as Quantum ESPRESSO input:
```
&SYSTEM
  ibrav = 0, nat = 6, ntyp = 3
/
ATOMIC_SPECIES
La 138.91 La.upf
Mg 24.30 Mg.upf
Nb 92.91 Nb.upf
CELL_PARAMETERS angstrom
4.5264 0.0000 0.0000
0.0000 4.5264 0.0000
0.0000 0.0000 7.8215
ATOMIC_POSITIONS crystal
La 0.0000 0.0000 0.0000
La 0.5000 0.5000 0.0000
Mg 0.5000 0.0000 0.3365
Mg 0.0000 0.5000 0.6635
Nb 0.0000 0.5000 0.2883
Nb 0.5000 0.0000 0.7117
```

Summary:
The distance to the lowest polymorph of the same formula comes out at 6 kJ/mol of formula units. Its crystal system is tetragonal.

=====

# 2
DFT (PBE) results for ThOsW after structural relaxation. Values from VASP.

Cell and atoms, written as Quantum ESPRESSO input:
```
&SYSTEM
  ibrav = 0, nat = 3, ntyp = 3
/
ATOMIC_SPECIES
Os 190.23 Os.upf
Th 232.04 Th.upf
W 183.84 W.upf
CELL_PARAMETERS angstrom
-3.2795 -2.6595 -1.9009
-3.3188 1.9181 -2.5977
-0.0504 -0.6972 -4.5774
ATOMIC_POSITIONS crystal
Os 0.0000 0.0000 0.0000
Th 0.2500 0.2500 0.2500
W 0.7500 0.7500 0.7500
```

Summary:
The distance to the lowest polymorph of the same formula comes out at 0 kJ/mol of formula units. For the formation enthalpy at 0 K, the calculation gives 630 meV/atom. Its crystal system is cubic.

=====

# 3
DFT (PBE) results for LaCoSi3 after structural relaxation. Values from VASP.

Cell and atoms, written as Quantum ESPRESSO input:
```
&SYSTEM
  ibrav = 0, nat = 5, ntyp = 3
/
ATOMIC_SPECIES
Co 58.93 Co.upf
La 138.91 La.upf
Si 28.09 Si.upf
CELL_PARAMETERS angstrom
-4.1728 0.0000 0.0000
0.0000 -4.1728 0.0000
2.0864 2.0864 4.8322
ATOMIC_POSITIONS crystal
Co 0.6620 0.6620 0.3239
La 0.0045 0.0045 0.0090
Si 0.7617 0.2617 0.5234
Si 0.2617 0.7617 0.5234
Si 0.4251 0.4251 0.8503
```

Summary:
The calculation puts the calculated total energy at -6.35 eV/atom. Its crystal system is tetragonal.

=====

# 4
DFT (PBE) results for Nb2Ge after structural relaxation. Values from VASP.

Cell and atoms, written as Quantum ESPRESSO input:
```
&SYSTEM
  ibrav = 0, nat = 3, ntyp = 2
/
ATOMIC_SPECIES
Ge 72.64 Ge.upf
Nb 92.91 Nb.upf
CELL_PARAMETERS angstrom
-1.4836 1.5468 3.7803
-0.6608 4.2667 0.4926
-4.0489 1.5544 0.2726
ATOMIC_POSITIONS crystal
Ge 0.0000 0.0000 0.0000
Nb 0.2500 0.2500 0.2500
Nb 0.7500 0.7500 0.7500
```

Summary:
The calculation puts the calculated total energy at -8.17 eV/atom. Its crystal system is cubic.

=====

# 5
DFT (PBE) results for Cu2Ag3 after structural relaxation. Values from VASP.

Cell and atoms, written as Quantum ESPRESSO input:
```
&SYSTEM
  ibrav = 0, nat = 10, ntyp = 2
/
ATOMIC_SPECIES
Ag 107.87 Ag.upf
Cu 63.55 Cu.upf
CELL_PARAMETERS angstrom
4.7787 0.0000 0.0000
0.0000 2.8534 0.0000
-0.8278 0.0000 11.4316
ATOMIC_POSITIONS crystal
Ag 0.4662 0.5000 0.0098
Ag 0.9262 0.5000 0.1813
Ag 0.8001 0.0000 0.3907
Ag 0.2997 0.5000 0.4087
Ag 0.7191 0.5000 0.6025
Ag 0.5888 0.0000 0.8045
Cu 0.4132 0.0000 0.2069
Cu 0.2089 0.0000 0.6144
Cu 0.0940 0.5000 0.7997
Cu 0.9838 0.0000 0.9815
```

Summary:
The distance to the lowest polymorph of the same formula comes out at 30 kJ/mol of formula units. For the formation enthalpy at 0 K, the calculation gives 94 meV/atom. Its crystal system is monoclinic.

=====

# 6
DFT (PBE) results for HoSi2 after structural relaxation. Values from VASP.

Cell and atoms, written as Quantum ESPRESSO input:
```
&SYSTEM
  ibrav = 0, nat = 3, ntyp = 2
/
ATOMIC_SPECIES
Ho 164.93 Ho.upf
Si 28.09 Si.upf
CELL_PARAMETERS angstrom
4.0916 -0.0001 0.0000
-2.0459 3.5433 0.0000
0.0000 0.0000 3.9032
ATOMIC_POSITIONS crystal
Ho 0.0000 0.0000 0.0000
Si 0.6667 0.3334 0.5000
Si 0.3334 0.6667 0.5000
```

Summary:
The calculation puts the calculated total energy at -5.65 eV/atom. Its crystal system is hexagonal.

=====

# 7
DFT (PBE) results for Pa2Se4Br after structural relaxation. Values from VASP.

Cell and atoms, written as Quantum ESPRESSO input:
```
&SYSTEM
  ibrav = 0, nat = 14, ntyp = 3
/
ATOMIC_SPECIES
Br 79.90 Br.upf
Pa 231.04 Pa.upf
Se 78.96 Se.upf
CELL_PARAMETERS angstrom
0.8171 8.8413 0.6059
-4.8784 -2.3719 7.0554
6.2972 -3.4907 -0.5080
ATOMIC_POSITIONS crystal
Br 0.7401 0.0104 0.2627
Br 0.0104 0.7401 0.7627
Pa 0.3750 0.8750 0.2105
Pa 0.3231 0.4267 0.3717
Pa 0.8750 0.3750 0.7105
Pa 0.4267 0.3231 0.8717
Se 0.5177 0.2325 0.2310
Se 0.1275 0.6221 0.2430
Se 0.5620 0.6619 0.3273
Se 0.1879 0.0880 0.3537
Se 0.2325 0.5177 0.7310
Se 0.6221 0.1275 0.7430
Se 0.6619 0.5620 0.8273
Se 0.0880 0.1879 0.8537
```

Summary:
The calculation puts the calculated total energy at -6.28 eV/atom. Its crystal system is monoclinic.

=====

# 8
DFT (PBE) results for LiScFeSb after structural relaxation. Values from VASP.

Cell and atoms, written as Quantum ESPRESSO input:
```
&SYSTEM
  ibrav = 0, nat = 4, ntyp = 4
/
ATOMIC_SPECIES
Fe 55.84 Fe.upf
Li 6.94 Li.upf
Sb 121.76 Sb.upf
Sc 44.96 Sc.upf
CELL_PARAMETERS angstrom
-2.5999 0.0044 3.7151
-4.1180 1.8947 -0.1168
-3.7030 -2.6110 0.1789
ATOMIC_POSITIONS crystal
Fe 0.2500 0.2500 0.2500
Li 0.5000 0.5000 0.5000
Sb 0.0000 0.0000 0.0000
Sc 0.7500 0.7500 0.7500
```

Summary:
The distance to the lowest polymorph of the same formula comes out at 84 kJ/mol of formula units. Its crystal system is cubic.